(1)
! meta-GGA SCAN NiPb3, PBEsol geometry; values from VASP
! magnetic moment	0.0000	μB/atom
! crystal system	orthorhombic
! E_form	0.7	eV/f.u.
&SYSTEM
  ibrav = 0, nat = 4, ntyp = 2
/
ATOMIC_SPECIES
Pb 207.20 Pb.upf
Ni 58.69 Ni.upf
CELL_PARAMETERS angstrom
-2.7149 -1.2482 -1.6582
0.5233 -5.8471 0.0234
-3.1661 -3.0057 3.9248
ATOMIC_POSITIONS angstrom
Pb -0.8134 -2.4317 -0.3593
Pb -2.2862 -5.3529 0.7297
Pb -3.4827 -8.4870 1.5265
Ni 0.2986 -5.6741 0.2609

(2)
! meta-GGA SCAN NiPb3, PBEsol geometry; values from VASP
! magnetic moment	0.0001	μB/atom
! crystal system	trigonal
! E_form	2.2	eV/f.u.
&SYSTEM
  ibrav = 0, nat = 4, ntyp = 2
/
ATOMIC_SPECIES
Pb 207.20 Pb.upf
Ni 58.69 Ni.upf
CELL_PARAMETERS angstrom
-1.7216 2.4581 1.5350
-3.4166 -0.9776 -4.7341
-0.0350 -4.1816 4.1897
ATOMIC_POSITIONS angstrom
Pb -2.5691 0.7402 -1.5995
Pb -1.7258 -2.5796 -0.2722
Pb -0.8783 -0.8618 2.8623
Ni 0.0000 0.0000 0.0000

(3)
! meta-GGA SCAN Ni2Pd2Pb, PBEsol geometry; values from VASP
! magnetic moment	0.3230	μB/atom
! crystal system	tetragonal
! E_form	1.1	eV/f.u.
&SYSTEM
  ibrav = 0, nat = 5, ntyp = 3
/
ATOMIC_SPECIES
Pb 207.20 Pb.upf
Ni 58.69 Ni.upf
Pd 106.42 Pd.upf
CELL_PARAMETERS angstrom
-0.3303 0.0040 -3.3857
-2.6501 -2.1175 0.2560
-2.6962 6.3464 1.9796
ATOMIC_POSITIONS angstrom
Pb 0.0000 0.0000 0.0000
Ni -2.2584 2.6468 -1.4855
Ni -3.4183 1.5861 0.3354
Pd -3.2678 4.1290 0.3237
Pd -2.4088 0.1039 -1.4739

(4)
! meta-GGA SCAN NiPdPb3, PBEsol geometry; values from VASP
! magnetic moment	0.2593	μB/atom
! crystal system	cubic
! E_form	3.3	eV/f.u.
&SYSTEM
  ibrav = 0, nat = 5, ntyp = 3
/
ATOMIC_SPECIES
Pd 106.42 Pd.upf
Pb 207.20 Pb.upf
Ni 58.69 Ni.upf
CELL_PARAMETERS angstrom
5.2046 0.0000 0.0000
0.0000 5.2046 0.0000
0.0000 0.0000 5.2046
ATOMIC_POSITIONS angstrom
Pd 0.0000 0.0000 0.0000
Pb 0.0000 0.0000 2.6023
Pb 0.0000 2.6023 0.0000
Pb 2.6023 0.0000 0.0000
Ni 2.6023 2.6023 2.6023

Which of these has the lowest magnetic moment?
number 1

Which formula does entry 2 have?
NiPb3